Entry 1:
LaCdSe2 | PBE | relaxed

Values from the calculation:
The uncorrected formation energy comes out at -1.090 eV per atom. The calculated density comes out at 6.71 g/cm³. The value obtained for the density of states at the Fermi level is 0.419 states/eV/atom.

CIF file:
```
data_LaCdSe2
_chemical_formula_sum 'La1 Cd1 Se2'
_cell_length_a 3.755
_cell_length_b 3.755
_cell_length_c 7.178
_cell_angle_alpha 90.00
_cell_angle_beta 90.00
_cell_angle_gamma 90.00
_space_group_name_H-M_alt 'P 4/m m m'
_space_group_IT_number 123
_space_group_name_Hall '-P 4 2'
loop_
_atom_site_label
_atom_site_fract_x
_atom_site_fract_y
_atom_site_fract_z
La1 0.000 0.000 0.000
Cd1 0.000 0.000 0.500
Se1 0.500 0.500 0.240
```

***

Entry 2:
LaCd3Se | PBE | relaxed

Values from the calculation:
The uncorrected formation energy comes out at 0.774 eV per atom. The calculated density comes out at 4.03 g/cm³. The value obtained for the density of states at the Fermi level is 0.822 states/eV/atom. The value obtained for the energy relative to the lowest polymorph listed for this composition is 0.591 eV per atom.

CIF file:
```
data_LaCd3Se
_chemical_formula_sum 'La1 Cd3 Se1'
_cell_length_a 6.118
_cell_length_b 6.118
_cell_length_c 6.118
_cell_angle_alpha 90.00
_cell_angle_beta 90.00
_cell_angle_gamma 90.00
_space_group_name_H-M_alt 'P m -3 m'
_space_group_IT_number 221
_space_group_name_Hall '-P 4 2 3'
loop_
_atom_site_label
_atom_site_fract_x
_atom_site_fract_y
_atom_site_fract_z
La1 0.000 0.000 0.000
Cd1 0.000 0.000 0.500
Se1 0.500 0.500 0.500
```

***

Entry 3:
LaCdSe2 | PBE | relaxed

Values from the calculation:
The uncorrected formation energy comes out at -0.952 eV per atom. The calculated density comes out at 5.04 g/cm³. The value obtained for the density of states at the Fermi level is 0.821 states/eV/atom.

CIF file:
```
data_LaCdSe2
_chemical_formula_sum 'La3 Cd3 Se6'
_cell_length_a 4.4879
_cell_length_b 4.4879
_cell_length_c 23.1791
_cell_angle_alpha 90.00
_cell_angle_beta 90.00
_cell_angle_gamma 120.00
_space_group_name_H-M_alt 'R 3 m'
_space_group_IT_number 160
_space_group_name_Hall 'R 3 -2"'
loop_
_atom_site_label
_atom_site_fract_x
_atom_site_fract_y
_atom_site_fract_z
La1 0.0000 0.0000 0.0000
Cd1 0.0000 0.0000 0.2367
Se1 0.0000 0.0000 0.5409
Se2 0.0000 0.0000 0.7231
```

***

Entry 4:
La3CdSe6 | PBE | relaxed

Values from the calculation:
The uncorrected formation energy comes out at -1.569 eV per atom. The calculated density comes out at 5.52 g/cm³. The value obtained for the density of states at the Fermi level is 0.858 states/eV/atom.

CIF file:
```
data_La3CdSe6
_chemical_formula_sum 'La12 Cd4 Se24'
_cell_length_a 11.709
_cell_length_b 14.141
_cell_length_c 7.293
_cell_angle_alpha 90.00
_cell_angle_beta 90.00
_cell_angle_gamma 90.00
_space_group_name_H-M_alt 'C m c 21'
_space_group_IT_number 36
loop_
_space_group_symop_operation_xyz
'x,y,z'
'-x,-y,z+1/2'
'-x,y,z'
'x,-y,z+1/2'
'x+1/2,y+1/2,z'
'-x+1/2,-y+1/2,z+1/2'
'-x+1/2,y+1/2,z'
'x+1/2,-y+1/2,z+1/2'
loop_
_atom_site_label
_atom_site_fract_x
_atom_site_fract_y
_atom_site_fract_z
La1 0.000 0.102 0.000
La2 0.182 0.401 0.092
Cd1 0.000 0.299 0.623
Se1 0.000 0.275 0.263
Se2 0.000 0.470 0.795
Se3 0.162 0.032 0.295
Se4 0.177 0.232 0.820
```

***

Entry 5:
LaCdSe2 | PBE | relaxed

Values from the calculation:
The uncorrected formation energy comes out at -1.163 eV per atom. The calculated density comes out at 5.79 g/cm³. The value obtained for the density of states at the Fermi level is 1.110 states/eV/atom.

CIF file:
```
data_LaCdSe2
_chemical_formula_sum 'La3 Cd3 Se6'
_cell_length_a 4.3257
_cell_length_b 4.3257
_cell_length_c 21.7306
_cell_angle_alpha 90.00
_cell_angle_beta 90.00
_cell_angle_gamma 120.00
_space_group_name_H-M_alt 'R -3 m'
_space_group_IT_number 166
_space_group_name_Hall '-R 3 2"'
loop_
_atom_site_label
_atom_site_fract_x
_atom_site_fract_y
_atom_site_fract_z
La1 0.0000 0.0000 0.0000
Cd1 0.0000 0.0000 0.5000
Se1 0.0000 0.0000 0.2546
```

***

Entry 6:
LaCdSe2 | PBE | relaxed

Values from the calculation:
The uncorrected formation energy comes out at -1.007 eV per atom. The calculated density comes out at 4.61 g/cm³. The value obtained for the density of states at the Fermi level is 1.201 states/eV/atom.

CIF file:
```
data_LaCdSe2
_chemical_formula_sum 'La4 Cd4 Se8'
_cell_length_a 6.587
_cell_length_b 6.587
_cell_length_c 13.601
_cell_angle_alpha 90.00
_cell_angle_beta 90.00
_cell_angle_gamma 90.00
_space_group_name_H-M_alt 'I -4 2 d'
_space_group_IT_number 122
_space_group_name_Hall 'I -4 2bw'
loop_
_atom_site_label
_atom_site_fract_x
_atom_site_fract_y
_atom_site_fract_z
La1 0.000 0.000 0.000
Cd1 0.000 0.000 0.500
Se1 0.242 0.250 0.625
```